Here is a relaxed structure of Tb5Pr3Ho4 from Alexandria. Energies are from PBE.

a b c (Å): 5.7657 9.6516 9.5196
angles (deg): 114.01 72.37 72.62
Fractional positions:
Tb: 0.2752 0.3803 0.0693
Tb: 0.5000 0.5000 0.5000
Tb: 0.3280 0.0684 0.2756
Tb: 0.6720 0.9316 0.7244
Tb: 0.7248 0.6197 0.9307
Ho: 0.9472 0.8499 0.2556
Ho: 0.0528 0.1501 0.7444
Ho: 0.1622 0.8065 0.8690
Ho: 0.8378 0.1935 0.1310
Pr: 0.5292 0.2849 0.6567
Pr: 0.4708 0.7151 0.3433
Pr: 0.0000 0.5000 0.5000

SG: C2/m, No. 12
Crystal system: monoclinic
Offset from the most stable computed form in eV/atom: 0.253
DFT formation energy in eV/atom: 0.271